Entry 1:
Entry from Alexandria via LeMat-Bulk: a geometry-optimized ZrTlSb2Te structure (GGA-PBE).

The structure belongs to space group P4/mmm (No. 123); the cell edges are 5.609, 5.609 and 5.659 Å and the angles 90.00°, 90.00° and 90.00°. Symmetry generates all atoms from Zr at (0.000, 0.000, 0.000), Tl at (0.500, 0.500, 0.500), Sb at (0.000, 0.500, 0.000) and Te at (0.000, 0.000, 0.500).

The total energy is -4.512 eV per atom. For the energy above the lowest structure with this stoichiometry, the calculation gives 0 meV/atom. For the formation energy without anion corrections, the calculation gives -1.20 kcal/mol of atoms.

Entry 2:
Entry from Alexandria via LeMat-Bulk: a geometry-optimized Pr6SmY3 structure (GGA-PBE).

The structure belongs to space group P2_1/m (No. 11); the cell edges are 11.912, 3.606 and 17.216 Å and the angles 90.00°, 108.59° and 90.00°. Symmetry generates all atoms from Pr at (0.100, 0.250, 0.257), Pr at (0.124, 0.250, 0.674), Pr at (0.153, 0.250, 0.895), Pr at (0.361, 0.750, 0.616), Pr at (0.364, 0.750, 0.409), Pr at (0.399, 0.750, 0.042), Sm at (0.357, 0.750, 0.821), Y at (0.121, 0.250, 0.469), Y at (0.124, 0.750, 0.076) and Y at (0.365, 0.250, 0.215).

The total energy is -5.216 eV per atom. For the energy above the lowest structure with this stoichiometry, the calculation gives 0 meV/atom.

> Which value of total energy does entry 1 give?

-4.512 eV per atom

> The lowest total energy belongs to which entry?

Pr6SmY3

Copy entry 2 word for word.
Entry from Alexandria via LeMat-Bulk: a geometry-optimized Pr6SmY3 structure (GGA-PBE).

The structure belongs to space group P2_1/m (No. 11); the cell edges are 11.912, 3.606 and 17.216 Å and the angles 90.00°, 108.59° and 90.00°. Symmetry generates all atoms from Pr at (0.100, 0.250, 0.257), Pr at (0.124, 0.250, 0.674), Pr at (0.153, 0.250, 0.895), Pr at (0.361, 0.750, 0.616), Pr at (0.364, 0.750, 0.409), Pr at (0.399, 0.750, 0.042), Sm at (0.357, 0.750, 0.821), Y at (0.121, 0.250, 0.469), Y at (0.124, 0.750, 0.076) and Y at (0.365, 0.250, 0.215).

The total energy is -5.216 eV per atom. For the energy above the lowest structure with this stoichiometry, the calculation gives 0 meV/atom.